# LiRe2Pb

A PBEsol-optimized structure of LiRe2Pb (meta-GGA SCAN, Alexandria via LeMat-Bulk).

a b c (Å): 2.726 2.726 9.881
angles (deg): 90.00 90.00 109.97
Element x y z (fractional)
Re1 0.000 0.000 0.729
Li1 0.500 0.500 0.500
Pb1 0.500 0.500 0.000
Re2 0.000 0.000 0.271

magnetic moment	0.0	μB per formula unit
space-group type	No. 65
energy of formation from the pure elements	1.10	eV per atom

=====

# Li2Re2Pb

A PBEsol-optimized structure of Li2Re2Pb (meta-GGA SCAN, Alexandria via LeMat-Bulk).

a b c (Å): 3.552 3.552 7.270
angles (deg): 104.14 104.14 90.00
Element x y z (fractional)
Re1 0.250 0.750 0.500
Re2 0.750 0.250 0.500
Li1 0.400 0.400 0.800
Li2 0.600 0.600 0.200
Pb1 0.000 0.000 0.000

magnetic moment	0.0	μB per formula unit
space-group type	No. 139
energy of formation from the pure elements	0.47	eV per atom

=====

# LiRhPb2

A PBEsol-optimized structure of LiRhPb2 (meta-GGA SCAN, Alexandria via LeMat-Bulk).

a b c (Å): 4.053 4.053 5.581
angles (deg): 111.29 111.29 90.00
Element x y z (fractional)
Pb1 0.750 0.250 0.500
Rh1 0.500 0.500 0.000
Pb2 0.000 0.000 0.000
Li1 0.250 0.750 0.500

magnetic moment	0.0	μB per formula unit
space-group type	No. 119
energy of formation from the pure elements	-0.04	eV per atom

=====

# LiRhPb

A PBEsol-optimized structure of LiRhPb (meta-GGA SCAN, Alexandria via LeMat-Bulk).

a b c (Å): 4.376 4.376 4.376
angles (deg): 60.00 60.00 60.00
Element x y z (fractional)
Rh1 0.000 0.000 0.000
Li1 0.500 0.500 0.500
Pb1 0.750 0.750 0.750

magnetic moment	0.0	μB per formula unit
space-group type	No. 216
energy of formation from the pure elements	-0.06	eV per atom